# CoMoO4 (PBE with a Hubbard U, optimized geometry)
# Density in g/cm³: 5.88
# DFT total energy in eV per atom: -6.593
# Polymorph energy (0 for the lowest one) in eV per formula unit: 1.174
data_CoMoO4
_cell_length_a 4.521
_cell_length_b 5.572
_cell_length_c 4.910
_cell_angle_alpha 90.00
_cell_angle_beta 90.03
_cell_angle_gamma 90.00
_space_group_name_H-M_alt 'P 1 2/c 1'
_space_group_IT_number 13
_space_group_name_Hall '-P 2yc'
loop_
_atom_site_label
_atom_site_type_symbol
_atom_site_fract_x
_atom_site_fract_y
_atom_site_fract_z
Co1 Co 0.000 0.142 0.250
Mo1 Mo 0.500 0.328 0.750
O1 O 0.223 0.109 0.585
O2 O 0.263 0.382 0.076